[1]
Below is a crystal of LaZrBr relaxed with PBEsol, with properties calculated at the meta-GGA SCAN level.

## Properties
Formation energy without anion corrections in eV per atom: -0.48
Space-group type: I4mm, No. 107
Spin magnetization in μB/atom: 0.0001
Energy above the lowest structure with this stoichiometry in eV per formula unit: 0.38
Theoretical density in g/cm3: 6.87

Cell lengths 3.3729, 3.3729, 13.1706 Å; angles 90.00, 90.00, 90.00 degrees
Sites, in units of the cell vectors:
La1 0.0000 0.0000 0.0000
La2 0.5000 0.5000 0.5000
Zr1 0.0000 0.0000 0.3133
Zr2 0.5000 0.5000 0.8133
Br1 0.0000 0.0000 0.6857
Br2 0.5000 0.5000 0.1857

[2]
Below is a crystal of LiBr2 relaxed with PBEsol, with properties calculated at the meta-GGA SCAN level.

## Properties
Formation energy without anion corrections in eV per atom: -0.79
Space-group type: I4/mmm, No. 139
Spin magnetization in μB/atom: 0.2855
Energy above the lowest structure with this stoichiometry in eV per formula unit: 0.83
Theoretical density in g/cm3: 3.98

Cell lengths 3.6115, 3.6115, 10.6807 Å; angles 90.00, 90.00, 90.00 degrees
Sites, in units of the cell vectors:
Li1 0.0000 0.0000 0.0000
Li2 0.5000 0.5000 0.5000
Br1 0.0000 0.0000 0.3677
Br2 0.0000 0.0000 0.6323
Br3 0.5000 0.5000 0.1323
Br4 0.5000 0.5000 0.8677

[3]
Below is a crystal of Li5Br4 relaxed with PBEsol, with properties calculated at the meta-GGA SCAN level.

## Properties
Formation energy without anion corrections in eV per atom: -1.30
Space-group type: I4/mmm, No. 139
Spin magnetization in μB/atom: 0.1111
Theoretical density in g/cm3: 2.98

Cell lengths 7.4423, 7.4423, 7.4423 Å; angles 93.77, 93.77, 150.29 degrees
Sites, in units of the cell vectors:
Li1 0.0000 0.0000 0.0000
Li2 0.3540 0.3540 0.7081
Li3 0.3540 0.6460 0.0000
Li4 0.6460 0.3540 0.0000
Li5 0.6460 0.6460 0.2919
Br1 0.0000 0.2571 0.2571
Br2 0.0000 0.7429 0.7429
Br3 0.2571 0.0000 0.2571
Br4 0.7429 0.0000 0.7429

[4]
Below is a crystal of LiBr8 relaxed with PBEsol, with properties calculated at the meta-GGA SCAN level.

## Properties
Formation energy without anion corrections in eV per atom: 0.06
Space-group type: I4/mmm, No. 139
Spin magnetization in μB/atom: 0.0000
Theoretical density in g/cm3: 3.42

Cell lengths 8.8254, 8.8254, 8.8254 Å; angles 93.36, 93.36, 151.98 degrees
Sites, in units of the cell vectors:
Li1 0.0000 0.0000 0.0000
Br1 0.0000 0.2150 0.2150
Br2 0.0000 0.7850 0.7850
Br3 0.2150 0.0000 0.2150
Br4 0.3481 0.3481 0.6961
Br5 0.3481 0.6519 0.0000
Br6 0.6519 0.3481 0.0000
Br7 0.6519 0.6519 0.3039
Br8 0.7850 0.0000 0.7850

[5]
Below is a crystal of LiBr2 relaxed with PBEsol, with properties calculated at the meta-GGA SCAN level.

## Properties
Formation energy without anion corrections in eV per atom: -0.84
Space-group type: P-3m1, No. 164
Spin magnetization in μB/atom: 0.2769
Energy above the lowest structure with this stoichiometry in eV per formula unit: 0.69
Theoretical density in g/cm3: 4.05

Cell lengths 3.9887, 3.9887, 4.9604 Å; angles 90.00, 90.00, 120.00 degrees
Sites, in units of the cell vectors:
Li1 0.0000 0.0000 0.0000
Br1 0.3333 0.6667 0.2583
Br2 0.6667 0.3333 0.7417

[6]
Below is a crystal of LiBr2 relaxed with PBEsol, with properties calculated at the meta-GGA SCAN level.

## Properties
Formation energy without anion corrections in eV per atom: -1.06
Space-group type: C2/m, No. 12
Spin magnetization in μB/atom: 0.0000
Energy above the lowest structure with this stoichiometry in eV per formula unit: 0.02
Theoretical density in g/cm3: 3.74

Cell lengths 11.2290, 3.8028, 7.7393 Å; angles 90.00, 116.49, 90.00 degrees
Sites, in units of the cell vectors:
Li1 0.0983 0.0000 0.3762
Li2 0.4017 0.5000 0.6238
Li3 0.5983 0.5000 0.3762
Li4 0.9017 0.0000 0.6238
Br1 0.0550 0.5000 0.8932
Br2 0.1782 0.5000 0.6362
Br3 0.3218 0.0000 0.3638
Br4 0.4450 0.0000 0.1068
Br5 0.5550 0.0000 0.8932
Br6 0.6782 0.0000 0.6362
Br7 0.8218 0.5000 0.3638
Br8 0.9450 0.5000 0.1068